(1)
! PBE AgPPt2, optimized geometry; values from VASP
! Crystal system ... tetragonal
&SYSTEM
  ibrav = 0, nat = 4, ntyp = 3
/
ATOMIC_SPECIES
Ag 107.87 Ag.upf
P 30.97 P.upf
Pt 195.08 Pt.upf
CELL_PARAMETERS angstrom
-2.018 2.018 3.866
2.018 -2.018 3.866
2.018 2.018 -3.866
ATOMIC_POSITIONS angstrom
Ag 0.000 0.000 0.000
P 0.000 0.000 3.866
Pt 2.018 0.000 1.933
Pt 0.000 2.018 1.933

---

(2)
! PBE AgPPt2, optimized geometry; values from VASP
! Crystal system ... monoclinic
&SYSTEM
  ibrav = 0, nat = 4, ntyp = 3
/
ATOMIC_SPECIES
Ag 107.87 Ag.upf
P 30.97 P.upf
Pt 195.08 Pt.upf
CELL_PARAMETERS angstrom
5.127 -1.542 0.000
5.127 1.542 0.000
-2.027 0.000 4.120
ATOMIC_POSITIONS angstrom
Ag 0.000 0.000 0.000
P 1.355 0.000 2.649
Pt 4.735 0.000 2.374
Pt 7.561 0.000 1.195

---

Number 1: ΔH_f (0 K) 0.13 eV per atom, calculated density 14.0 Mg/m³. Number 2: ΔH_f (0 K) -0.08 eV per atom, calculated density 13.5 Mg/m³.